Entry 1:
# KTa2Se, optimized geometry, DFT PBE-GGA
# Calculated total energy (eV per atom): -6.07
# Raw formation energy (eV/atom): 1.004
data_KTa2Se
_space_group_name_H-M_alt 'P 1'
_space_group_IT_number 1
_cell_length_a 5.420
_cell_length_b 4.052
_cell_length_c 4.052
_cell_angle_alpha 90.00
_cell_angle_beta 90.00
_cell_angle_gamma 90.00
loop_
_space_group_symop_operation_xyz
'x,y,z'
loop_
_atom_site_label
_atom_site_fract_x
_atom_site_fract_y
_atom_site_fract_z
_atom_site_occupancy
K1 0.500 0.500 0.000 1
Ta1 0.000 0.000 0.000 1
Ta2 0.000 0.500 0.500 1
Se1 0.500 0.000 0.500 1

***

Entry 2:
# NbPdI2N, optimized geometry, DFT PBE-GGA
# Calculated total energy (eV per atom): -4.30
# Raw formation energy (eV/atom): 1.037
# Excess energy over the best structure of this formula in the dataset (meV per atom): 705
data_NbPdI2N
_space_group_name_H-M_alt 'P 1'
_space_group_IT_number 1
_cell_length_a 5.709
_cell_length_b 5.709
_cell_length_c 3.729
_cell_angle_alpha 90.00
_cell_angle_beta 90.00
_cell_angle_gamma 90.00
loop_
_space_group_symop_operation_xyz
'x,y,z'
loop_
_atom_site_label
_atom_site_fract_x
_atom_site_fract_y
_atom_site_fract_z
_atom_site_occupancy
I1 0.500 0.000 0.000 1
I2 0.000 0.500 0.000 1
N1 0.000 0.000 0.500 1
Nb1 0.500 0.500 0.500 1
Pd1 0.000 0.000 0.000 1

***

Entry 3:
# AcZnIn2, optimized geometry, DFT PBE-GGA
# Calculated total energy (eV per atom): -3.11
# DFT formation energy (kcal/mol of atoms): -9.07
# Excess energy over the best structure of this formula in the dataset (meV per atom): 16
data_AcZnIn2
_space_group_name_H-M_alt 'P 1'
_space_group_IT_number 1
_cell_length_a 4.841
_cell_length_b 9.906
_cell_length_c 9.343
_cell_angle_alpha 90.00
_cell_angle_beta 105.01
_cell_angle_gamma 90.00
loop_
_space_group_symop_operation_xyz
'x,y,z'
loop_
_atom_site_label
_atom_site_fract_x
_atom_site_fract_y
_atom_site_fract_z
_atom_site_occupancy
In1 0.308 0.096 0.617 1
In2 0.692 0.596 0.383 1
In3 0.308 0.404 0.617 1
In4 0.692 0.904 0.383 1
In5 0.099 0.750 0.198 1
In6 0.901 0.250 0.802 1
In7 0.941 0.750 0.883 1
In8 0.059 0.250 0.117 1
Zn1 0.853 0.976 0.706 1
Zn2 0.147 0.476 0.294 1
Zn3 0.853 0.524 0.706 1
Zn4 0.147 0.024 0.294 1
Ac1 0.500 0.500 0.000 1
Ac2 0.500 0.000 0.000 1
Ac3 0.302 0.750 0.605 1
Ac4 0.698 0.250 0.395 1

***

Entry 4:
# Tb5Dy5Th2, optimized geometry, DFT PBE-GGA
# Calculated total energy (eV per atom): -5.06
# DFT formation energy (kcal/mol of atoms): 0.62
data_Tb5Dy5Th2
_space_group_name_H-M_alt 'P 1'
_space_group_IT_number 1
_cell_length_a 5.042
_cell_length_b 10.659
_cell_length_c 7.959
_cell_angle_alpha 98.49
_cell_angle_beta 71.53
_cell_angle_gamma 76.32
loop_
_space_group_symop_operation_xyz
'x,y,z'
loop_
_atom_site_label
_atom_site_fract_x
_atom_site_fract_y
_atom_site_fract_z
_atom_site_occupancy
Tb1 0.666 0.251 0.416 1
Tb2 0.996 0.254 0.753 1
Tb3 0.334 0.749 0.584 1
Tb4 0.004 0.746 0.247 1
Tb5 0.000 0.000 0.000 1
Dy1 0.000 0.500 0.500 1
Dy2 0.334 0.998 0.334 1
Dy3 0.669 0.746 0.916 1
Dy4 0.331 0.254 0.084 1
Dy5 0.666 0.002 0.666 1
Th1 0.669 0.499 0.163 1
Th2 0.331 0.501 0.837 1

***

Entry 5:
# NpZnSb2, optimized geometry, DFT PBE-GGA
# Calculated total energy (eV per atom): -5.55
# Raw formation energy (eV/atom): 0.069
data_NpZnSb2
_space_group_name_H-M_alt 'P 1'
_space_group_IT_number 1
_cell_length_a 4.371
_cell_length_b 4.371
_cell_length_c 7.061
_cell_angle_alpha 71.97
_cell_angle_beta 71.97
_cell_angle_gamma 60.00
loop_
_space_group_symop_operation_xyz
'x,y,z'
loop_
_atom_site_label
_atom_site_fract_x
_atom_site_fract_y
_atom_site_fract_z
_atom_site_occupancy
Sb1 0.246 0.246 0.262 1
Sb2 0.089 0.089 0.733 1
Np1 0.666 0.666 0.001 1
Zn1 0.498 0.498 0.505 1

***

Entry 6:
# TePAu2, optimized geometry, DFT PBE-GGA
# Calculated total energy (eV per atom): -3.29
# Raw formation energy (eV/atom): 0.491
# Excess energy over the best structure of this formula in the dataset (meV per atom): 432
data_TePAu2
_space_group_name_H-M_alt 'P 1'
_space_group_IT_number 1
_cell_length_a 5.797
_cell_length_b 5.797
_cell_length_c 2.908
_cell_angle_alpha 83.23
_cell_angle_beta 83.23
_cell_angle_gamma 121.26
loop_
_space_group_symop_operation_xyz
'x,y,z'
loop_
_atom_site_label
_atom_site_fract_x
_atom_site_fract_y
_atom_site_fract_z
_atom_site_occupancy
Te1 0.000 0.000 0.500 1
Au1 0.000 0.500 0.000 1
Au2 0.500 0.000 0.000 1
P1 0.500 0.500 0.500 1

***

| no. | D(E_F) (states/eV/atom) | total magnetization (μB/cell) |
| --- | --- | --- |
| 1 | 1.383 | 0.6 |
| 2 | 0.856 | 3.4 |
| 3 | 0.350 | 0.0 |
| 4 | 1.327 | 0.0 |
| 5 | 3.122 | 4.0 |
| 6 | 0.464 | 0.0 |